Entry 1:
A plane-wave DFT calculation with PBE was carried out for an optimized crystal structure of ScAlFe.

Structure (extended XYZ):
```
3
Lattice="-0.9693 -1.7850 -3.6837 0.9936 -4.0249 -0.7130 -3.0297 -2.9118 -0.1937" Properties=species:S:1:pos:R:3 pbc="T T T"
Sc 0.0000 0.0000 0.0000
Fe -2.2540 -6.5413 -3.4427
Al -1.5027 -4.3608 -2.2952
```

## Properties
Space-group type: F-43m, No. 216

Entry 2:
A plane-wave DFT calculation with PBE was carried out for an optimized crystal structure of ScAl2Fe.

Structure (extended XYZ):
```
4
Lattice="3.9297 0.0000 0.0000 0.0000 3.9297 0.0000 0.0000 0.0000 4.1651" Properties=species:S:1:pos:R:3 pbc="T T T"
Al 0.0000 0.0000 0.0000
Al 1.9649 1.9649 0.0000
Sc 0.0000 1.9649 2.0826
Fe 1.9649 0.0000 2.0826
```

## Properties
Space-group type: P4/mmm, No. 123

Entry 3:
A plane-wave DFT calculation with PBE was carried out for an optimized crystal structure of ScAl4Fe.

Structure (extended XYZ):
```
6
Lattice="4.0154 0.0000 0.0000 0.0000 4.0154 0.0000 0.0000 0.0000 7.2895" Properties=species:S:1:pos:R:3 pbc="T T T"
Al 2.0077 0.0000 5.0370
Al 2.0077 0.0000 2.2525
Al 0.0000 2.0077 5.0370
Al 0.0000 2.0077 2.2525
Sc 0.0000 0.0000 0.0000
Fe 2.0077 2.0077 3.6448
```

## Properties
Space-group type: P4/mmm, No. 123

Entry 4:
A plane-wave DFT calculation with PBE was carried out for an optimized crystal structure of Sc2Al2Fe.

Structure (extended XYZ):
```
10
Lattice="6.5978 0.0000 0.0000 0.0000 6.5978 0.0000 0.0000 0.0000 4.1457" Properties=species:S:1:pos:R:3 pbc="T T T"
Fe 0.0000 0.0000 0.0000
Fe 3.2989 3.2989 0.0000
Al 5.6796 4.2172 0.0000
Al 0.9182 2.3807 0.0000
Al 4.2172 0.9182 0.0000
Al 2.3807 5.6796 0.0000
Sc 1.1357 4.4346 2.0728
Sc 4.4346 5.4621 2.0728
Sc 5.4621 2.1632 2.0728
Sc 2.1632 1.1357 2.0728
```

## Properties
Space-group type: P4/mbm, No. 127

Number 1: formation energy from the elements 2.2 kJ per mole of atoms, volume 17.545 Å³ per atom. Number 2: formation energy from the elements -25.5 kJ per mole of atoms, volume 16.080 Å³ per atom. Number 3: formation energy from the elements 4.0 kJ per mole of atoms, volume 19.589 Å³ per atom. Number 4: formation energy from the elements -13.4 kJ per mole of atoms, volume 18.047 Å³ per atom.